[1]
4
Lattice="0.799 6.547 6.377 3.874 6.071 5.683 2.121 8.035 3.886" Properties=species:S:1:pos:R:3 comment="HPbSe2 PBE-GGA optimized geometry" density_g_cm3=7.685 e_above_lowest_polymorph_mev_per_atom=834.6 pbc="T T T"
Se 0.768 2.333 1.801
Se 6.027 18.320 14.145
H 3.397 10.326 7.973
Pb 0.000 0.000 0.000

---

[2]
5
Lattice="5.531 0.000 0.000 0.000 5.531 0.000 0.000 0.000 5.531" Properties=species:S:1:pos:R:3 comment="HPbSe3 PBE-GGA optimized geometry" density_g_cm3=4.369 e_above_lowest_polymorph_mev_per_atom=553.2 pbc="T T T"
Se 0.000 0.000 2.765
Se 2.765 0.000 0.000
Se 0.000 2.765 0.000
H 2.765 2.765 2.765
Pb 0.000 0.000 0.000

---

[3]
4
Lattice="-3.212 -2.840 0.846 -2.127 0.179 3.813 -4.149 1.368 0.126" Properties=species:S:1:pos:R:3 comment="H2PbSe PBE-GGA optimized geometry" density_g_cm3=8.108 e_above_lowest_polymorph_mev_per_atom=791.3 pbc="T T T"
Pb -4.744 -0.647 2.392
H -2.372 -0.323 1.196
H -7.116 -0.970 3.589
Se 0.000 0.000 0.000

---

[4]
8
Lattice="4.328 0.000 0.000 0.000 4.328 0.000 2.164 2.164 6.932" Properties=species:S:1:pos:R:3 comment="H2PbSe PBE-GGA optimized geometry" density_g_cm3=7.369 e_above_lowest_polymorph_mev_per_atom=674.0 pbc="T T T"
H 5.410 5.199 5.199
H 1.294 3.246 1.733
H 3.246 3.458 5.199
H 3.035 1.082 1.733
Se 2.164 2.164 0.000
Se 2.164 4.328 3.466
Pb 4.328 2.164 3.466
Pb 0.000 0.000 0.000

---

[5]
6
Lattice="-1.552 2.369 -3.437 -4.187 1.364 -0.054 4.185 8.744 1.317" Properties=species:S:1:pos:R:3 comment="HPbSe PBE-GGA optimized geometry" density_g_cm3=6.175 pbc="T T T"
Pb -2.809 7.428 -1.623
Pb -4.515 2.515 -1.411
Se 0.614 3.755 0.070
Se -0.486 8.350 0.850
H 0.807 9.419 -1.884
H -2.004 1.458 -0.390

---

[6]
16
Lattice="6.028 0.000 0.000 0.000 6.207 1.370 0.000 1.722 11.385" Properties=species:S:1:pos:R:3 comment="HPbSe2 PBE-GGA optimized geometry" density_g_cm3=5.906 e_above_lowest_polymorph_mev_per_atom=21.1 pbc="T T T"
Se 1.576 3.223 5.070
Se 4.452 7.187 11.447
Se 4.452 4.707 7.684
Se 4.463 2.994 2.505
Se 1.565 4.936 10.249
Se 1.576 0.742 1.307
Se 1.565 6.958 8.883
Se 4.463 0.971 3.872
H 0.090 3.317 5.083
H 0.090 0.648 1.295
H 5.938 4.613 7.672
H 5.938 7.281 11.460
Pb 4.476 4.260 10.726
Pb 1.551 6.503 5.719
Pb 4.476 1.426 7.036
Pb 1.551 3.669 2.028

---

[7]
5
Lattice="-0.923 -4.556 1.734 3.416 -1.864 -3.079 3.478 0.621 3.483" Properties=species:S:1:pos:R:3 comment="HPb3Se PBE-GGA optimized geometry" density_g_cm3=9.537 e_above_lowest_polymorph_mev_per_atom=0.0 pbc="T T T"
Pb 1.739 0.311 1.742
Pb -0.462 -2.278 0.867
Pb 1.708 -0.932 -1.539
H 0.000 0.000 0.000
Se 2.986 -2.899 1.069

---

[8]
8
Lattice="-3.021 3.378 -0.233 -2.180 -4.403 -4.097 -2.376 -2.958 6.841" Properties=species:S:1:pos:R:3 comment="HPbSe2 PBE-GGA optimized geometry" density_g_cm3=5.741 e_above_lowest_polymorph_mev_per_atom=33.6 pbc="T T T"
H -4.203 -5.479 2.068
H -3.374 1.497 0.443
Pb -4.374 -1.554 -0.673
Pb -3.203 -2.428 3.183
Se -4.238 -4.725 0.761
Se -5.491 -1.139 4.813
Se -2.086 -2.843 -2.303
Se -3.339 0.742 1.749

---

[9]
8
Lattice="4.596 0.000 0.001 2.241 5.037 -0.001 2.174 -0.291 9.163" Properties=species:S:1:pos:R:3 comment="HPbSe2 PBE-GGA optimized geometry" density_g_cm3=5.733 e_above_lowest_polymorph_mev_per_atom=33.4 pbc="T T T"
Se 4.285 0.911 2.144
Se 3.920 2.888 8.217
Se 6.574 3.072 5.020
Se 6.289 0.740 5.506
Pb 6.170 4.757 7.451
Pb 4.312 4.086 3.075
H 4.447 1.045 3.625
H 1.934 3.325 0.526

---

[10]
16
Lattice="6.109 0.000 0.000 0.000 4.613 0.000 -2.832 0.000 15.040" Properties=species:S:1:pos:R:3 comment="HPbSe2 PBE-GGA optimized geometry" density_g_cm3=5.738 e_above_lowest_polymorph_mev_per_atom=27.3 pbc="T T T"
Se -0.919 3.755 14.658
Se 0.497 1.449 7.139
Se 2.612 1.622 12.238
Se 4.028 3.929 4.718
Se 4.196 3.755 0.381
Se 0.665 1.622 2.802
Se -0.751 3.929 10.322
Se 2.780 1.449 7.901
H -0.548 0.355 9.255
H 2.409 2.662 13.304
H 3.825 0.355 5.785
H 0.868 2.662 1.735
Pb -0.589 1.266 12.726
Pb 0.827 3.572 5.206
Pb 3.866 1.266 2.314
Pb 2.450 3.572 9.833

---

[11]
8
Lattice="-3.465 -2.591 -1.172 -1.797 -2.100 4.552 -6.357 6.718 1.179" Properties=species:S:1:pos:R:3 comment="HPbSe2 PBE-GGA optimized geometry" density_g_cm3=5.687 e_above_lowest_polymorph_mev_per_atom=43.9 pbc="T T T"
Se -7.747 1.331 2.548
Se -5.414 -1.136 2.495
Se -1.517 -1.088 0.704
Se -6.879 1.654 0.300
Pb -3.774 1.032 1.095
Pb -7.219 3.641 4.187
H -4.341 -2.163 2.364
H -8.689 4.632 1.141

---

[12]
8
Lattice="-3.733 -1.944 -1.813 0.606 -5.355 -0.837 -4.718 -2.630 7.817" Properties=species:S:1:pos:R:3 comment="HPbSe2 PBE-GGA optimized geometry" density_g_cm3=5.663 e_above_lowest_polymorph_mev_per_atom=24.9 pbc="T T T"
Pb -5.165 -6.016 4.243
Pb -2.681 -3.912 0.923
Se -2.226 -5.595 3.339
Se -5.619 -4.334 1.827
Se -3.324 -6.350 -0.740
Se -4.521 -3.578 5.906
H -5.178 -4.052 7.158
H -2.667 -5.876 -1.992

---

[13]
4
Lattice="2.511 0.000 6.683 -1.255 2.174 6.683 -1.255 -2.174 6.683" Properties=species:S:1:pos:R:3 comment="HPbSe2 PBE-GGA optimized geometry" density_g_cm3=5.555 e_above_lowest_polymorph_mev_per_atom=182.9 pbc="T T T"
H 0.000 0.000 0.000
Se 0.000 0.000 1.745
Se 0.000 0.000 18.304
Pb 0.000 0.000 10.024

---

[14]
4
Lattice="4.357 -0.010 -0.001 -0.036 4.360 -0.007 -2.156 -2.144 5.439" Properties=species:S:1:pos:R:3 comment="HPbSe2 PBE-GGA optimized geometry" density_g_cm3=5.888 e_above_lowest_polymorph_mev_per_atom=112.9 pbc="T T T"
Se -1.321 1.053 4.310
Se -0.150 2.027 1.590
H -0.263 0.011 4.318
Pb 1.959 -0.074 1.594

---

[15]
8
Lattice="-4.959 -1.066 3.283 5.310 0.414 3.012 -1.008 6.153 -0.798" Properties=species:S:1:pos:R:3 comment="HPbSe2 PBE-GGA optimized geometry" density_g_cm3=6.053 e_above_lowest_polymorph_mev_per_atom=25.6 pbc="T T T"
H 2.812 5.526 1.515
H -0.679 0.876 3.204
Se -1.286 0.692 1.825
Se 0.504 3.565 3.667
Se 1.488 5.209 0.909
Se -0.197 1.917 5.298
Pb -2.054 3.784 1.550
Pb 1.490 2.105 1.167

---

[16]
12
Lattice="4.391 0.000 0.000 0.000 8.768 -0.189 0.000 0.199 8.661" Properties=species:S:1:pos:R:3 comment="HPbSe PBE-GGA optimized geometry" density_g_cm3=5.718 pbc="T T T"
H 2.019 0.181 0.282
H 4.214 4.401 8.284
H 0.176 4.565 0.188
H 2.372 8.785 8.189
Se 3.291 3.419 5.683
Se 1.096 1.163 2.883
Se 3.295 7.803 5.588
Se 1.100 5.547 2.789
Pb 3.290 3.349 2.855
Pb 1.101 5.618 5.617
Pb 1.094 1.234 5.711
Pb 3.297 7.733 2.760

---

[17]
6
Lattice="-4.986 -0.391 -1.715 1.169 -3.426 -2.616 0.008 -2.287 6.811" Properties=species:S:1:pos:R:3 comment="HPbSe PBE-GGA optimized geometry" density_g_cm3=6.199 pbc="T T T"
Pb -2.892 -2.759 -1.492
Pb -0.661 -3.166 3.851
H -1.006 -1.246 1.182
H -2.608 -4.827 1.344
Se -3.599 -5.700 2.043
Se -2.388 -1.815 1.310

---

[18]
8
Lattice="5.769 0.000 0.000 0.000 5.769 0.000 2.884 2.884 5.607" Properties=species:S:1:pos:R:3 comment="HPbSe2 PBE-GGA optimized geometry" density_g_cm3=6.516 e_above_lowest_polymorph_mev_per_atom=472.5 pbc="T T T"
Se 4.326 4.933 4.206
Se 3.720 1.442 1.402
Se 2.049 4.326 1.402
Se 7.211 6.604 4.206
H 2.884 2.884 0.000
H 2.884 5.769 2.804
Pb 5.769 2.884 2.804
Pb 0.000 0.000 0.000

---

[19]
8
Lattice="-0.631 -0.703 -5.920 -3.532 -3.533 3.357 -3.444 5.236 0.798" Properties=species:S:1:pos:R:3 comment="HPbSe2 PBE-GGA optimized geometry" density_g_cm3=6.064 e_above_lowest_polymorph_mev_per_atom=19.9 pbc="T T T"
Se -2.568 -0.741 0.378
Se -5.298 -1.804 -2.155
Se -3.312 3.735 -2.291
Se -4.743 0.559 -2.310
Pb -1.632 1.227 -2.538
Pb -4.245 1.766 0.646
H -2.836 -1.569 -4.101
H -3.643 3.870 -3.739

---

[20]
8
Lattice="-0.715 -1.169 -4.205 6.008 -0.135 -1.015 2.740 -7.858 1.592" Properties=species:S:1:pos:R:3 comment="HPbSe2 PBE-GGA optimized geometry" density_g_cm3=5.596 e_above_lowest_polymorph_mev_per_atom=24.1 pbc="T T T"
Se 2.435 -0.406 -1.202
Se 2.626 -5.039 -2.383
Se 5.318 -2.257 -3.614
Se 6.494 -6.154 -2.833
H 4.783 -8.353 -1.043
H 4.048 -2.909 -3.177
Pb 1.400 -3.184 -0.380
Pb 7.884 -7.421 -0.370

---

[21]
10
Lattice="-5.587 -0.614 -6.063 2.108 -7.913 -1.141 -2.244 -0.909 2.160" Properties=species:S:1:pos:R:3 comment="H2PbSe2 PBE-GGA optimized geometry" density_g_cm3=5.498 pbc="T T T"
H -2.736 -7.795 -3.686
H -5.236 -3.997 -4.685
H -2.988 -1.642 -1.358
H -0.487 -5.439 -0.359
Se 0.438 -5.467 -1.846
Se -2.049 -6.927 -5.044
Se -1.431 -1.600 -2.160
Se -3.917 -3.061 -5.358
Pb -1.740 -4.264 -3.602
Pb 0.000 0.000 0.000

---

[22]
4
Lattice="0.000 3.493 3.493 3.493 0.000 3.493 3.493 3.493 0.000" Properties=species:S:1:pos:R:3 comment="HPbSe2 PBE-GGA optimized geometry" density_g_cm3=7.135 e_above_lowest_polymorph_mev_per_atom=800.7 pbc="T T T"
Se 1.746 1.746 1.746
Se 5.239 5.239 5.239
Pb 3.493 3.493 3.493
H 0.000 0.000 0.000

---

[23]
5
Lattice="4.118 0.000 0.000 0.000 4.118 0.000 0.000 0.000 4.118" Properties=species:S:1:pos:R:3 comment="H3PbSe PBE-GGA optimized geometry" density_g_cm3=6.878 e_above_lowest_polymorph_mev_per_atom=128.3 pbc="T T T"
H 0.000 2.059 0.000
H 2.059 0.000 0.000
H 0.000 0.000 2.059
Pb 0.000 0.000 0.000
Se 2.059 2.059 2.059

---

[24]
5
Lattice="3.982 0.000 0.000 0.000 3.982 0.000 0.000 0.000 3.982" Properties=species:S:1:pos:R:3 comment="H3PbSe PBE-GGA optimized geometry" density_g_cm3=7.604 e_above_lowest_polymorph_mev_per_atom=0.0 pbc="T T T"
H 0.000 0.000 1.991
H 1.991 0.000 0.000
H 0.000 1.991 0.000
Pb 1.991 1.991 1.991
Se 0.000 0.000 0.000

---

[25]
8
Lattice="-2.297 1.435 -3.047 -0.567 -6.977 -2.859 -5.798 -3.103 2.908" Properties=species:S:1:pos:R:3 comment="Sn2HPbSe4 PBE-GGA optimized geometry" density_g_cm3=5.991 pbc="T T T"
Sn -5.798 -3.103 2.908
Sn -4.047 -0.834 -0.070
H -1.432 -2.771 -2.953
Se -3.998 -0.944 -2.886
Se -5.596 -3.199 -0.016
Se -3.066 -5.447 -2.982
Se -4.663 -7.701 -0.112
Pb -3.182 -5.040 0.025

---

| no. | final energy (eV/atom) |
| --- | --- |
| 1 | -2.928 |
| 2 | -2.509 |
| 3 | -2.907 |
| 4 | -3.024 |
| 5 | -3.643 |
| 6 | -3.742 |
| 7 | -3.405 |
| 8 | -3.729 |
| 9 | -3.729 |
| 10 | -3.735 |
| 11 | -3.719 |
| 12 | -3.738 |
| 13 | -3.580 |
| 14 | -3.650 |
| 15 | -3.737 |
| 16 | -3.859 |
| 17 | -3.578 |
| 18 | -3.290 |
| 19 | -3.743 |
| 20 | -3.739 |
| 21 | -3.394 |
| 22 | -2.962 |
| 23 | -2.697 |
| 24 | -2.825 |
| 25 | -3.711 |